Record 1
VASP calculation (PBE) on a relaxed LiThSc2In4 crystal.

a b c (Å): 5.0835 5.0835 25.9621
angles (deg): 90.00 90.00 120.00
Closest atoms and distances in Å follow each position.
Space group R-3m (No. 166, hexagonal axes)
Unique sites:
Li1 0.0000 0.0000 0.0000  8 In 3.00-3.08
Th1 0.0000 0.0000 0.5000  8 In 3.22-3.40
Sc1 0.0000 0.0000 0.2512  7 In 3.06-3.17
In1 0.0000 0.0000 0.1157  1 Li 3.00, 3 Sc 3.06, 3 Th 3.22
In2 0.0000 0.0000 0.3690  4 Sc 3.06-3.17, 3 Li 3.08, 1 Th 3.40

ΔH_f (0 K) in meV/atom: -322



Record 2
VASP calculation (PBE) on a relaxed Li2ThSc2In2 crystal.

a b c (Å): 4.7596 4.7596 25.3639
angles (deg): 90.00 90.00 120.00
Closest atoms and distances in Å follow each position.
Space group R-3m (No. 166, hexagonal axes)
Unique sites:
Li1 0.0000 0.0000 0.0736  3 In 2.78, 3 Sc 2.93
Th1 0.0000 0.0000 0.5000  6 In 3.36, 2 Sc 3.39, 6 Li 3.62
Sc1 0.0000 0.0000 0.3664  3 Li 2.93, 4 In 3.11-3.13, 3 Sc 3.22
In1 0.0000 0.0000 0.2430  3 Li 2.78, 3 Sc 3.11

ΔH_f (0 K) in meV/atom: -170



Record 3
VASP calculation (PBE) on a relaxed LiScTlIn crystal.

a b c (Å): 3.6741 4.8688 4.8860
angles (deg): 90.00 90.00 90.00
Closest atoms and distances in Å follow each position.
Space group Pmmm (No. 47)
Unique sites:
Li1 0.0000 0.0000 0.0000  4 Tl 3.05, 4 In 3.06
Sc1 0.0000 0.5000 0.5000  4 In 3.05, 4 Tl 3.06
Tl1 0.5000 0.5000 0.0000  4 Li 3.05, 4 Sc 3.06
In1 0.5000 0.0000 0.5000  4 Sc 3.05, 4 Li 3.06

ΔH_f (0 K) in meV/atom: -329



Record 4
VASP calculation (PBE) on a relaxed LiScTlIn crystal.

a b c (Å): 7.0515 7.0515 7.0515
angles (deg): 90.00 90.00 90.00
Closest atoms and distances in Å follow each position.
Space group F-43m (No. 216)
Unique sites:
Li1 0.0000 0.0000 0.0000  4 Tl 3.05, 4 In 3.05
Sc1 0.0000 0.0000 0.5000  4 Tl 3.05, 4 In 3.05
Tl1 0.2500 0.2500 0.2500  4 Li 3.05, 4 Sc 3.05
In1 0.2500 0.2500 0.7500  4 Li 3.05, 4 Sc 3.05

ΔH_f (0 K) in meV/atom: -294



Record 5
VASP calculation (PBE) on a relaxed Li2TmSc2In2 crystal.

a b c (Å): 4.7206 4.7206 25.1830
angles (deg): 90.00 90.00 120.00
Closest atoms and distances in Å follow each position.
Space group R-3m (No. 166, hexagonal axes)
Unique sites:
Li1 0.0000 0.0000 0.0900  3 In 2.73, 3 Sc 3.05
Tm1 0.0000 0.0000 0.5000  2 Sc 3.30, 6 In 3.33, 6 Li 3.34
Sc1 0.0000 0.0000 0.3690  3 Li 3.05, 4 In 3.06-3.19, 3 Sc 3.27, 1 Tm 3.30
In1 0.0000 0.0000 0.2426  3 Li 2.73

ΔH_f (0 K) in meV/atom: -202



Record 6
VASP calculation (PBE) on a relaxed LiTmScIn crystal.

a b c (Å): 7.1931 7.1931 7.1931
angles (deg): 90.00 90.00 90.00
Closest atoms and distances in Å follow each position.
Space group F-43m (No. 216)
Unique sites:
Li1 0.0000 0.0000 0.0000  4 Sc 3.11, 4 Tm 3.11
Tm1 0.2500 0.2500 0.7500  4 In 3.11, 4 Li 3.11
Sc1 0.2500 0.2500 0.2500  4 In 3.11, 4 Li 3.11
In1 0.0000 0.0000 0.5000  4 Tm 3.11, 4 Sc 3.11

ΔH_f (0 K) in meV/atom: -243



Record 7
VASP calculation (PBE) on a relaxed Li2Tm2ScIn2 crystal.

a b c (Å): 4.7562 4.7562 25.6151
angles (deg): 90.00 90.00 120.00
Closest atoms and distances in Å follow each position.
Space group R-3m (No. 166, hexagonal axes)
Unique sites:
Li1 0.0000 0.0000 0.1132  3 In 2.77, 3 Sc 3.07
Tm1 0.0000 0.0000 0.3738  3 In 3.12, 1 Sc 3.23, 3 Li 3.32, 3 Tm 3.44
Sc1 0.0000 0.0000 0.5000  6 Li 3.07, 2 Tm 3.23, 6 In 3.26
In1 0.0000 0.0000 0.2352  3 Li 2.77

ΔH_f (0 K) in meV/atom: -193



Record 8
VASP calculation (PBE) on a relaxed LiTm2ScIn4 crystal.

a b c (Å): 5.1037 5.1037 25.2811
angles (deg): 90.00 90.00 120.00
Closest atoms and distances in Å follow each position.
Space group R-3m (No. 166, hexagonal axes)
Unique sites:
Li1 0.0000 0.0000 0.0000  8 In 3.13-3.14
Tm1 0.0000 0.0000 0.2524  8 In 3.09-3.24
Sc1 0.0000 0.0000 0.5000  8 In 3.13-3.17
In1 0.0000 0.0000 0.1244  3 Sc 3.13, 1 Li 3.14, 4 Tm 3.14-3.24
In2 0.0000 0.0000 0.3746  4 Tm 3.09-3.11, 3 Li 3.13, 1 Sc 3.17

ΔH_f (0 K) in meV/atom: -388



Record 9
VASP calculation (PBE) on a relaxed Li2YSc2In2 crystal.

a b c (Å): 4.7299 4.7299 25.4324
angles (deg): 90.00 90.00 120.00
Closest atoms and distances in Å follow each position.
Space group R-3m (No. 166, hexagonal axes)
Unique sites:
Li1 0.0000 0.0000 0.0855  3 In 2.73, 3 Sc 3.02
Y1 0.0000 0.0000 0.5000  2 Sc 3.36, 6 In 3.36, 6 Li 3.42
Sc1 0.0000 0.0000 0.3681  3 Li 3.02, 4 In 3.07-3.16, 3 Sc 3.25, 1 Y 3.36
In1 0.0000 0.0000 0.2437  3 Li 2.73

ΔH_f (0 K) in meV/atom: -225



Record 10
VASP calculation (PBE) on a relaxed LiYSc2In4 crystal.

a b c (Å): 5.0493 5.0493 25.2322
angles (deg): 90.00 90.00 120.00
Closest atoms and distances in Å follow each position.
Space group R-3m (No. 166, hexagonal axes)
Unique sites:
Li1 0.0000 0.0000 0.0000  8 In 3.03-3.07
Y1 0.0000 0.0000 0.5000  8 In 3.14-3.24
Sc1 0.0000 0.0000 0.2521  8 In 3.02-3.33
In1 0.0000 0.0000 0.1200  1 Li 3.03, 4 Sc 3.07-3.33, 3 Y 3.14
In2 0.0000 0.0000 0.3716  4 Sc 3.02-3.11, 3 Li 3.07, 1 Y 3.24

ΔH_f (0 K) in meV/atom: -398



Record 11
VASP calculation (PBE) on a relaxed LiInSe2 crystal.

a b c (Å): 3.8080 7.4895 8.0531
angles (deg): 90.00 90.00 90.00
Closest atoms and distances in Å follow each position.
Space group Immm (No. 71)
Unique sites:
Li1 0.0000 0.0000 0.0000  4 Se 2.69
In1 0.0000 0.5000 0.0000  4 Se 2.65
Se1 0.0000 0.2467 0.5000  2 In 2.65, 2 Li 2.69

Uncorrected formation energy in eV/atom: -0.516



Record 12
VASP calculation (PBE) on a relaxed LiInSe2 crystal.

a b c (Å): 4.3023 5.0591 4.3073
angles (deg): 90.00 98.80 90.00
Closest atoms and distances in Å follow each position.
Space group Pm (No. 6)
Unique sites:
Li1 0.0000 0.0000 0.0000  3 Se 2.54-2.63
In1 0.5608 0.5000 0.4436  5 Se 2.64-2.87
Se1 0.4057 0.0000 0.5996  3 Li 2.63-2.89, 2 In 2.73
Se2 0.9653 0.5000 0.0398  2 Li 2.54, 1 In 2.64

Uncorrected formation energy in eV/atom: -0.728



Record 13
VASP calculation (PBE) on a relaxed LiIn6Se8 crystal.

a b c (Å): 11.9458 11.9458 11.8589
angles (deg): 90.00 90.00 120.00
Closest atoms and distances in Å follow each position.
Space group R-3 (No. 148, hexagonal axes)
Unique sites:
Li1 0.0000 0.0000 0.0000  2 Se 2.50
In1 0.0107 0.8175 0.3521  5 Se 2.70-2.90
Se1 0.0000 0.0000 0.2110  1 Li 2.50, 3 In 2.80
Se2 0.0200 0.7515 0.5860  4 In 2.70-2.90

Uncorrected formation energy in eV/atom: -0.396



Record 14
VASP calculation (PBE) on a relaxed LiIn2Se crystal.

a b c (Å): 4.0726 3.8342 6.7465
angles (deg): 90.00 107.49 90.00
Closest atoms and distances in Å follow each position.
Space group Pm (No. 6)
Unique sites:
Li1 0.0000 0.0000 0.0000  4 Se 2.81
In1 0.2967 0.0000 0.5978  2 Se 3.03, 4 In 3.08-3.10, 2 Li 3.29-3.30
In2 0.6975 0.5000 0.3936  1 Se 2.78, 4 In 3.08-3.10
Se1 0.4804 0.5000 0.9622  3 In 2.78-3.03, 4 Li 2.81

Uncorrected formation energy in eV/atom: -0.425



Record 15
VASP calculation (PBE) on a relaxed Li2InSe crystal.

a b c (Å): 3.5325 3.9207 12.1822
angles (deg): 90.00 90.00 90.00
Closest atoms and distances in Å follow each position.
Space group Imm2 (No. 44)
Unique sites:
Li1 0.0000 0.0000 0.0000  2 Se 2.59, 2 Li 2.87
Li2 0.0000 0.5000 0.1723  4 Se 2.65, 2 Li 2.87
In1 0.0000 0.0000 0.3634  6 Li 3.04-3.12, 2 Se 3.09
Se1 0.0000 0.5000 0.6554  6 Li 2.59-2.65

Uncorrected formation energy in eV/atom: -0.610



Record 16
VASP calculation (PBE) on a relaxed LiInSe2 crystal.

a b c (Å): 5.6661 5.6661 11.2295
angles (deg): 90.00 90.00 90.00
Closest atoms and distances in Å follow each position.
Space group I4_1/amd (No. 141, origin choice 2)
Unique sites:
Li1 0.0000 0.2500 0.3750  6 Se 2.84-2.93
In1 0.0000 0.2500 0.8750  6 Se 2.69-2.84
Se1 0.0000 0.2500 0.1143  3 In 2.69-2.84, 3 Li 2.84-2.93

Uncorrected formation energy in eV/atom: -0.764



Record 17
VASP calculation (PBE) on a relaxed LiInSe2 crystal.

a b c (Å): 4.0057 4.0057 5.4848
angles (deg): 90.00 90.00 90.00
Closest atoms and distances in Å follow each position.
Space group P4/mmm (No. 123)
Unique sites:
Li1 0.0000 0.0000 0.0000  6 Se 2.74-2.83
In1 0.5000 0.5000 0.5000  6 Se 2.74-2.83
Se1 0.0000 0.0000 0.5000  2 Li 2.74, 4 In 2.83
Se2 0.5000 0.5000 0.0000  2 In 2.74, 4 Li 2.83

Uncorrected formation energy in eV/atom: -0.689



Record 18
VASP calculation (PBE) on a relaxed LiInSe2 crystal.

a b c (Å): 6.0405 6.0405 11.8692
angles (deg): 90.00 90.00 90.00
Closest atoms and distances in Å follow each position.
Space group I-42d (No. 122)
Unique sites:
Li1 0.0000 0.0000 0.0000  4 Se 2.57
In1 0.0000 0.0000 0.5000  4 Se 2.63
Se1 0.2417 0.2500 0.1250  2 Li 2.57, 2 In 2.63

Uncorrected formation energy in eV/atom: -0.880



Record 19
VASP calculation (PBE) on a relaxed Li2InSe crystal.

a b c (Å): 7.0922 7.0922 7.0922
angles (deg): 90.00 90.00 90.00
Closest atoms and distances in Å follow each position.
Space group F-43m (No. 216)
Unique sites:
Li1 0.0000 0.0000 0.0000  4 In 3.07, 4 Li 3.07
Li2 0.2500 0.2500 0.2500  4 Se 3.07, 4 Li 3.07
In1 0.2500 0.2500 0.7500  4 Se 3.07, 4 Li 3.07
Se1 0.0000 0.0000 0.5000  4 In 3.07, 4 Li 3.07

Uncorrected formation energy in eV/atom: -0.300



Record 20
VASP calculation (PBE) on a relaxed Li2InSe crystal.

a b c (Å): 7.0238 3.9299 6.6815
angles (deg): 90.00 106.54 90.00
Closest atoms and distances in Å follow each position.
Space group C2/m (No. 12)
Unique sites:
Li1 0.2111 0.0000 0.1465  3 Se 2.49
In1 0.0000 0.0000 0.5000  6 Li 3.13-3.29
Se1 0.0000 0.5000 0.0000  6 Li 2.49

Uncorrected formation energy in eV/atom: -0.655



Record 21
VASP calculation (PBE) on a relaxed LiInSe2 crystal.

a b c (Å): 3.9589 3.9589 19.6052
angles (deg): 90.00 90.00 120.00
Closest atoms and distances in Å follow each position.
Space group R-3m (No. 166, hexagonal axes)
Unique sites:
Li1 0.0000 0.0000 0.0000  6 Se 2.83
In1 0.0000 0.0000 0.5000  6 Se 2.79
Se1 0.0000 0.0000 0.2485  3 In 2.79, 3 Li 2.83

Uncorrected formation energy in eV/atom: -0.798



Record 22
VASP calculation (PBE) on a relaxed Li2InSe crystal.

a b c (Å): 4.4817 4.4817 8.0634
angles (deg): 90.00 90.00 90.00
Closest atoms and distances in Å follow each position.
Space group I4/mmm (No. 139)
Unique sites:
Li1 0.0000 0.5000 0.2500  4 In 3.01, 4 Se 3.01, 4 Li 3.17
In1 0.0000 0.0000 0.0000  8 Li 3.01, 4 Se 3.17
Se1 0.0000 0.0000 0.5000  8 Li 3.01, 4 In 3.17

Uncorrected formation energy in eV/atom: -0.501



Record 23
VASP calculation (PBE) on a relaxed LiInSe2 crystal.

a b c (Å): 6.5120 7.6013 3.9286
angles (deg): 90.00 111.03 90.00
Closest atoms and distances in Å follow each position.
Space group C2/m (No. 12)
Unique sites:
Li1 0.0000 0.0000 0.0000  4 Se 2.80
In1 0.0000 0.5000 0.0000  4 Se 2.80
Se1 0.2500 0.2500 0.5000  2 In 2.80, 2 Li 2.80

Uncorrected formation energy in eV/atom: -0.457



Record 24
VASP calculation (PBE) on a relaxed LiInSe2 crystal.

a b c (Å): 3.6570 4.7961 4.8632
angles (deg): 90.00 90.00 90.00
Closest atoms and distances in Å follow each position.
Space group Pmmm (No. 47)
Unique sites:
Li1 0.0000 0.0000 0.0000  8 Se 3.02-3.04
In1 0.0000 0.5000 0.5000  8 Se 3.02-3.04
Se1 0.5000 0.0000 0.5000  4 In 3.02, 4 Li 3.04
Se2 0.5000 0.5000 0.0000  4 Li 3.02, 4 In 3.04

Uncorrected formation energy in eV/atom: -0.401



Record 25
VASP calculation (PBE) on a relaxed LiIn3Se crystal.

a b c (Å): 5.6747 5.6747 5.6747
angles (deg): 90.00 90.00 90.00
Closest atoms and distances in Å follow each position.
Space group Pm-3m (No. 221)
Unique sites:
Li1 0.0000 0.0000 0.0000  12 In 4.01
In1 0.0000 0.5000 0.5000  2 Se 2.84
Se1 0.5000 0.5000 0.5000  6 In 2.84

Uncorrected formation energy in eV/atom: 0.252



Record 26
VASP calculation (PBE) on a relaxed Li2InSe crystal.

a b c (Å): 3.7246 3.7246 5.6345
angles (deg): 90.00 90.00 90.00
Closest atoms and distances in Å follow each position.
Space group P4mm (No. 99)
Unique sites:
Li1 0.0000 0.0000 0.0000  1 Se 2.59
Li2 0.5000 0.5000 0.2783  2 In 2.76-2.87, 4 Se 2.83, 4 Li 3.07
In1 0.5000 0.5000 0.7689  6 Li 2.76-2.94
Se1 0.0000 0.0000 0.4599  5 Li 2.59-2.83

Uncorrected formation energy in eV/atom: -0.477



Record 27
VASP calculation (PBE) on a relaxed Li2InSe crystal.

a b c (Å): 3.9344 4.5331 4.4050
angles (deg): 90.00 90.48 90.00
Closest atoms and distances in Å follow each position.
Space group P2/m (No. 10)
Unique sites:
Li1 0.0000 0.0000 0.0000  4 In 2.94-2.97, 4 Se 3.00, 4 Li 3.16
Li2 0.0000 0.5000 0.5000  4 Se 2.94-2.97, 4 In 3.00, 4 Li 3.16
In1 0.5000 0.0000 0.5000  8 Li 2.94-3.00, 4 Se 3.16
Se1 0.5000 0.5000 0.0000  8 Li 2.94-3.00, 4 In 3.16

Uncorrected formation energy in eV/atom: -0.597



Record 28
VASP calculation (PBE) on a relaxed Li2InSe crystal.

a b c (Å): 10.9554 3.9782 4.0107
angles (deg): 90.00 90.79 90.00
Closest atoms and distances in Å follow each position.
Space group Cm (No. 8)
Unique sites:
Li1 0.0000 0.0000 0.0000  2 Se 2.60, 4 In 2.86-2.87
Li2 0.1934 0.0000 0.5102  4 Se 2.85-2.87, 1 In 2.88, 2 Li 2.91-2.93
In1 0.4566 0.0000 0.4986  5 Li 2.86-2.88, 2 Se 2.94
Se1 0.1524 0.5000 0.0066  6 Li 2.60-2.87

Uncorrected formation energy in eV/atom: -0.578



Computed values of total DFT energy (no corrections) (unit: eV/atom) for the preceding records, in sequence: -4.441; -4.368; -3.666; -3.632; -3.979; -4.107; -3.704; -3.906; -4.287; -4.398; -3.421; -3.633; -3.477; -3.144; -3.123; -3.669; -3.595; -3.786; -2.813; -3.167; -3.703; -3.013; -3.362; -3.307; -2.471; -2.989; -3.110; -3.090.
Computed values of theoretical density (unit: g cm⁻³) for the preceding records, in sequence: 6.758; 5.661; 7.050; 7.030; 5.149; 5.990; 6.218; 7.417; 4.270; 5.768; 4.044; 5.013; 4.512; 5.215; 4.088; 5.153; 5.277; 4.289; 3.866; 3.901; 5.236; 4.258; 5.117; 5.445; 3.911; 4.412; 4.389; 3.946.